# ZnCuGe2Sb (SCAN, PBEsol geometry)
data_ZnCuGe2Sb
_chemical_formula_sum 'Zn1 Cu1 Ge2 Sb1'
_symmetry_space_group_name_H-M 'P 4/m m m'
_symmetry_Int_Tables_number 123
_symmetry_space_group_name_Hall '-P 4 2'
_cell_length_a 4.637
_cell_length_b 4.637
_cell_length_c 5.259
_cell_angle_alpha 90.00
_cell_angle_beta 90.00
_cell_angle_gamma 90.00
loop_
_atom_site_label
_atom_site_type_symbol
_atom_site_fract_x
_atom_site_fract_y
_atom_site_fract_z
Zn1 Zn 0.000 0.000 0.000
Cu1 Cu 0.500 0.500 0.500
Ge1 Ge 0.000 0.500 0.000
Sb1 Sb 0.000 0.000 0.500
# Fermi-level density of states   2.1 states/eV per cell
# E   -19.9458 eV/atom
# Formation energy without anion corrections   0.88 eV per atom
# Crystal system   tetragonal